Compound: CdSbI
Source: Alexandria via LeMat-Bulk
Functional: GGA-PBE
Structure: optimized geometry

Calculated total energy   -0.178 Ry per atom
Volume   108.5 Å³/f.u.
Crystal system   monoclinic
Density   5.5 g/cm3
M_tot   0.0 μB per formula unit

abc: 5.7344 4.3221 9.1949
angles: 90.00 107.83 90.00
Fractional coordinates of all 6 atoms:
I: 0.8241 0.0000 0.4892
I: 0.4706 0.5000 0.7719
Sb: 0.0779 0.5000 0.2796
Sb: 0.1939 0.0000 0.0900
Cd: 0.8423 0.0000 0.7998
Cd: 0.5767 0.5000 0.1147